Ba2PaCo2O6 | PBE+U | optimized geometry

Structure (POSCAR):
```
Ba2PaCo2O6
1.0
3.1001 1.7899 5.6434
-3.1001 1.7899 5.6434
0.0000 -3.5797 5.6434
Ba Pa Co O
2 1 2 6
direct
0.2185 0.2185 0.2185 Ba
0.7815 0.7815 0.7815 Ba
0.0000 0.0000 0.0000 Pa
0.4301 0.4301 0.4301 Co
0.5699 0.5699 0.5699 Co
0.2301 0.7612 0.7612 O
0.2388 0.2388 0.7699 O
0.2388 0.7699 0.2388 O
0.7612 0.2301 0.7612 O
0.7612 0.7612 0.2301 O
0.7699 0.2388 0.2388 O
```

Computed properties:
The calculated volume is 17.1 Å³ per atom. Its space-group type is No. 166. The calculation puts the total energy at -7.20 eV per atom.